[1]
# Os2O5, optimized geometry, DFT PBE
# Crystal system: monoclinic
# Energy above the most stable polymorph in this dataset in eV/atom: 0.401
data_Os2O5
_symmetry_space_group_name_H-M 'C 1 m 1'
_symmetry_Int_Tables_number 8
_cell_length_a 5.342
_cell_length_b 8.048
_cell_length_c 4.827
_cell_angle_alpha 90.00
_cell_angle_beta 113.06
_cell_angle_gamma 90.00
loop_
_symmetry_equiv_pos_as_xyz
'x,y,z'
'x,-y,z'
'x+1/2,y+1/2,z'
'x+1/2,-y+1/2,z'
loop_
_atom_site_label
_atom_site_type_symbol
_atom_site_fract_x
_atom_site_fract_y
_atom_site_fract_z
_atom_site_occupancy
Os1 Os 0.000 0.161 0.000 1
O1 O 0.243 0.168 0.793 1
O2 O 0.268 0.500 0.721 1
O3 O 0.293 0.298 0.244 1



[2]
# OsO, optimized geometry, DFT PBE
# Crystal system: cubic
# Energy above the most stable polymorph in this dataset in eV/atom: 0.000
data_OsO
_symmetry_space_group_name_H-M 'F -4 3 m'
_symmetry_Int_Tables_number 216
_symmetry_space_group_name_Hall 'F -4 2 3'
_cell_length_a 4.634
_cell_length_b 4.634
_cell_length_c 4.634
_cell_angle_alpha 90.00
_cell_angle_beta 90.00
_cell_angle_gamma 90.00
loop_
_atom_site_label
_atom_site_type_symbol
_atom_site_fract_x
_atom_site_fract_y
_atom_site_fract_z
_atom_site_occupancy
Os1 Os 0.000 0.000 0.000 1
O1 O 0.250 0.250 0.250 1



Calculated total moment (μB per cell), listed in the same order as above: 0.02 0.00